[1]
A plane-wave DFT calculation with GGA-PBE was carried out for a relaxed structure of YHO.

Summary:
SG ... No. 216

abc: 5.315 5.315 5.315
angles: 90.00 90.00 90.00
Positions (direct):
Y1 0.000 0.000 0.000
Y2 0.000 0.500 0.500
Y3 0.500 0.000 0.500
Y4 0.500 0.500 0.000
H1 0.250 0.250 0.250
H2 0.250 0.750 0.750
H3 0.750 0.250 0.750
H4 0.750 0.750 0.250
O1 0.250 0.250 0.750
O2 0.250 0.750 0.250
O3 0.750 0.250 0.250
O4 0.750 0.750 0.750

[2]
A plane-wave DFT calculation with GGA-PBE was carried out for a relaxed structure of YHO2.

Summary:
SG ... No. 166

abc: 3.245 3.245 17.080
angles: 90.00 90.00 120.00
Positions (direct):
Y1 0.000 0.000 0.000
Y2 0.333 0.667 0.667
Y3 0.667 0.333 0.333
H1 0.000 0.000 0.500
H2 0.333 0.667 0.167
H3 0.667 0.333 0.833
O1 0.000 0.000 0.119
O2 0.000 0.000 0.881
O3 0.333 0.667 0.547
O4 0.333 0.667 0.786
O5 0.667 0.333 0.214
O6 0.667 0.333 0.453

[3]
A plane-wave DFT calculation with GGA-PBE was carried out for a relaxed structure of Y2HO.

Summary:
SG ... No. 122

abc: 5.383 5.383 10.301
angles: 90.00 90.00 90.00
Positions (direct):
Y1 0.236 0.250 0.125
Y2 0.250 0.736 0.375
Y3 0.250 0.764 0.875
Y4 0.264 0.250 0.625
Y5 0.736 0.750 0.625
Y6 0.750 0.236 0.875
Y7 0.750 0.264 0.375
Y8 0.764 0.750 0.125
H1 0.000 0.000 0.500
H2 0.000 0.500 0.750
H3 0.500 0.000 0.250
H4 0.500 0.500 0.000
O1 0.000 0.000 0.000
O2 0.000 0.500 0.250
O3 0.500 0.000 0.750
O4 0.500 0.500 0.500

One value per record, in order, for E: -7.199, -4.695, -6.831 eV per atom.